First-principles (PBE) data for a geometry-optimized ScTl2Sn structure, as listed in Alexandria.

a = 8.428 Å, b = 8.428 Å, c = 6.160 Å
α = 90.00°, β = 90.00°, γ = 90.00°
Space group I-42d (No. 122)
One atom of each set of equivalent atoms:
Sc (0.000, 0.000, 0.000) [4 per cell]
Tl (0.249, 0.250, 0.625) [8 per cell]
Sn (0.000, 0.000, 0.500) [4 per cell]

Values from the calculation:
calculated formation energy: 0.013 eV/atom
energy above the lowest structure with this stoichiometry: 153.4 meV per atom
calculated total energy: -60.052 eV/cell